Entry 1:
A plane-wave DFT calculation with PBEsol was carried out for a geometry-optimized ScN structure.

## Properties
The density of states at the Fermi level is 0.1 states/eV per cell. As for the spin magnetization: 0.00 μB/cell. The calculation puts the electronic total energy at -19.32 eV per formula unit. Its raw formation energy is -2.0960 eV per atom.

Cell lengths 3.162, 3.162, 3.162 Å; angles 60.00, 60.00, 60.00 degrees
Atoms (fractional coordinates):
Sc 0.000 0.000 0.000
N 0.500 0.500 0.500


Entry 2:
A plane-wave DFT calculation with PBEsol was carried out for a geometry-optimized HgBi2C structure.

## Properties
The density of states at the Fermi level is 3.1 states/eV per cell. As for the spin magnetization: 0.00 μB/cell. The calculation puts the electronic total energy at -13.44 eV per formula unit. As for the formation energy: 1.336 eV per atom.

Cell lengths 4.998, 4.998, 4.998 Å; angles 60.00, 60.00, 60.00 degrees
Atoms (fractional coordinates):
Hg 0.000 0.000 0.000
Bi 0.250 0.250 0.250
Bi 0.750 0.750 0.750
C 0.500 0.500 0.500


Entry 3:
A plane-wave DFT calculation with PBEsol was carried out for a geometry-optimized RbTaBRu2 structure.

## Properties
The density of states at the Fermi level is 4.9 states/eV per cell. As for the spin magnetization: 0.00 μB/cell. The calculation puts the electronic total energy at -24.48 eV per formula unit. As for the formation energy: 3.291 eV per atom.

Cell lengths 4.615, 4.615, 4.162 Å; angles 90.00, 90.00, 90.00 degrees
Atoms (fractional coordinates):
Rb 0.000 0.000 0.000
Ta 0.500 0.500 0.500
B 0.000 0.000 0.500
Ru 0.000 0.500 0.000
Ru 0.500 0.000 0.000


Entry 4:
A plane-wave DFT calculation with PBEsol was carried out for a geometry-optimized TePSCl2 structure.

## Properties
The density of states at the Fermi level is 3.3 states/eV per cell. As for the spin magnetization: 0.00 μB/cell. The calculation puts the electronic total energy at -15.53 eV per formula unit. Its raw formation energy is 0.4378 eV per atom.

Cell lengths 4.596, 4.596, 4.946 Å; angles 90.00, 90.00, 90.00 degrees
Atoms (fractional coordinates):
Te 0.000 0.000 0.000
P 0.500 0.500 0.000
S 0.500 0.500 0.500
Cl 0.000 0.500 0.500
Cl 0.500 0.000 0.500